A geometry-optimized CaTe2IBr structure. Source: Alexandria via LeMat-Bulk, functional PBE.

It has space group P4/mmm (No. 123), with a = 5.738 Å, b = 5.738 Å, c = 5.688 Å, α = 90.00°, β = 90.00° and γ = 90.00°. Symmetry generates all atoms from Ca at (0.000, 0.000, 0.000), Te at (0.000, 0.500, 0.500), I at (0.500, 0.500, 0.000) and Br at (0.500, 0.500, 0.500).

The calculation puts the formation energy without anion corrections at -0.7 kcal/mol of atoms. The calculation puts the energy above the most stable polymorph in this dataset at 1.421 kcal/mol of atoms. The value obtained for the density of states at the Fermi level is 0.94 states/eV per atom. The value obtained for the volume is 187 Å³/f.u.

A geometry-optimized CaTeI2Br structure. Source: Alexandria via LeMat-Bulk, functional PBE.

It has space group P4/mmm (No. 123), with a = 5.941 Å, b = 5.941 Å, c = 6.488 Å, α = 90.00°, β = 90.00° and γ = 90.00°. Symmetry generates all atoms from Ca at (0.000, 0.000, 0.000), Te at (0.000, 0.000, 0.500), I at (0.000, 0.500, 0.000) and Br at (0.500, 0.500, 0.500).

The calculation puts the formation energy without anion corrections at -7.5 kcal/mol of atoms. The calculation puts the energy above the most stable polymorph in this dataset at 0.000 kcal/mol of atoms. The value obtained for the density of states at the Fermi level is 2.27 states/eV per atom. The value obtained for the volume is 229 Å³/f.u.

A geometry-optimized CaTe2IBr structure. Source: Alexandria via LeMat-Bulk, functional PBE.

It has space group P4/mmm (No. 123), with a = 6.257 Å, b = 6.257 Å, c = 5.878 Å, α = 90.00°, β = 90.00° and γ = 90.00°. Symmetry generates all atoms from Ca at (0.000, 0.000, 0.000), Te at (0.000, 0.500, 0.000), I at (0.000, 0.000, 0.500) and Br at (0.500, 0.500, 0.500).

The calculation puts the formation energy without anion corrections at -2.1 kcal/mol of atoms. The calculation puts the energy above the most stable polymorph in this dataset at 0.000 kcal/mol of atoms. The value obtained for the density of states at the Fermi level is 1.14 states/eV per atom. The value obtained for the volume is 230 Å³/f.u.

A geometry-optimized CaTlI2Br structure. Source: Alexandria via LeMat-Bulk, functional PBE.

It has space group P4/mmm (No. 123), with a = 6.186 Å, b = 6.186 Å, c = 5.590 Å, α = 90.00°, β = 90.00° and γ = 90.00°. Symmetry generates all atoms from Ca at (0.000, 0.000, 0.000), Tl at (0.500, 0.500, 0.500), I at (0.000, 0.500, 0.000) and Br at (0.000, 0.000, 0.500).

The calculation puts the formation energy without anion corrections at -29.0 kcal/mol of atoms. The calculation puts the energy above the most stable polymorph in this dataset at 1.553 kcal/mol of atoms. The value obtained for the density of states at the Fermi level is 0.00 states/eV per atom. The value obtained for the volume is 214 Å³/f.u.

A geometry-optimized CaTlIBr2 structure. Source: Alexandria via LeMat-Bulk, functional PBE.

It has space group P4/mmm (No. 123), with a = 5.639 Å, b = 5.639 Å, c = 6.254 Å, α = 90.00°, β = 90.00° and γ = 90.00°. Symmetry generates all atoms from Ca at (0.000, 0.000, 0.000), Tl at (0.500, 0.500, 0.500), I at (0.000, 0.000, 0.500) and Br at (0.000, 0.500, 0.000).

The calculation puts the formation energy without anion corrections at -32.0 kcal/mol of atoms. The value obtained for the density of states at the Fermi level is 0.00 states/eV per atom. The value obtained for the volume is 199 Å³/f.u.

A geometry-optimized CaTlI2Br structure. Source: Alexandria via LeMat-Bulk, functional PBE.

It has space group P4/mmm (No. 123), with a = 5.886 Å, b = 5.886 Å, c = 6.534 Å, α = 90.00°, β = 90.00° and γ = 90.00°. Symmetry generates all atoms from Ca at (0.000, 0.000, 0.000), Tl at (0.000, 0.000, 0.500), I at (0.000, 0.500, 0.500) and Br at (0.500, 0.500, 0.000).

The calculation puts the formation energy without anion corrections at -7.7 kcal/mol of atoms. The calculation puts the energy above the most stable polymorph in this dataset at 22.876 kcal/mol of atoms. The value obtained for the density of states at the Fermi level is 0.32 states/eV per atom. The value obtained for the volume is 226 Å³/f.u.

A geometry-optimized CaTlI2Br structure. Source: Alexandria via LeMat-Bulk, functional PBE.

It has space group P2_1/m (No. 11), with a = 9.177 Å, b = 4.616 Å, c = 10.690 Å, α = 90.00°, β = 103.32° and γ = 90.00°. Symmetry generates all atoms from Ca at (0.148, 0.250, 0.166), Tl at (0.306, 0.250, 0.578), I at (0.073, 0.750, 0.347), I at (0.198, 0.750, 0.977) and Br at (0.447, 0.250, 0.319).

The calculation puts the formation energy without anion corrections at -30.6 kcal/mol of atoms. The calculation puts the energy above the most stable polymorph in this dataset at 0.000 kcal/mol of atoms. The value obtained for the density of states at the Fermi level is 0.00 states/eV per atom. The value obtained for the volume is 220 Å³/f.u.

A geometry-optimized CaVIBr2 structure. Source: Alexandria via LeMat-Bulk, functional PBE.

It has space group P4/mmm (No. 123), with a = 5.313 Å, b = 5.313 Å, c = 9.078 Å, α = 90.00°, β = 90.00° and γ = 90.00°. Symmetry generates all atoms from Ca at (0.000, 0.000, 0.000), V at (0.000, 0.000, 0.500), I at (0.500, 0.500, 0.500) and Br at (0.000, 0.500, 0.000).

The calculation puts the formation energy without anion corrections at -7.3 kcal/mol of atoms. The value obtained for the density of states at the Fermi level is 0.00 states/eV per atom. The value obtained for the volume is 256 Å³/f.u.

A geometry-optimized CaWIBr2 structure. Source: Alexandria via LeMat-Bulk, functional PBE.

It has space group P4/mmm (No. 123), with a = 5.268 Å, b = 5.268 Å, c = 8.720 Å, α = 90.00°, β = 90.00° and γ = 90.00°. Symmetry generates all atoms from Ca at (0.000, 0.000, 0.000), W at (0.000, 0.000, 0.500), I at (0.500, 0.500, 0.500) and Br at (0.000, 0.500, 0.000).

The calculation puts the formation energy without anion corrections at 9.0 kcal/mol of atoms. The value obtained for the density of states at the Fermi level is 0.26 states/eV per atom. The value obtained for the volume is 242 Å³/f.u.

A geometry-optimized CaZn2IBr structure. Source: Alexandria via LeMat-Bulk, functional PBE.

It has space group P4/mmm (No. 123), with a = 5.164 Å, b = 5.164 Å, c = 7.230 Å, α = 90.00°, β = 90.00° and γ = 90.00°. Symmetry generates all atoms from Ca at (0.000, 0.000, 0.000), Zn at (0.000, 0.500, 0.500), I at (0.500, 0.500, 0.000) and Br at (0.500, 0.500, 0.500).

The calculation puts the formation energy without anion corrections at 1.3 kcal/mol of atoms. The value obtained for the density of states at the Fermi level is 0.49 states/eV per atom. The value obtained for the volume is 193 Å³/f.u.

A geometry-optimized Ca2InBr structure. Source: Alexandria via LeMat-Bulk, functional PBE.

It has space group I-42d (No. 122), with a = 8.127 Å, b = 8.127 Å, c = 8.267 Å, α = 90.00°, β = 90.00° and γ = 90.00°. Symmetry generates all atoms from Ca at (0.228, 0.250, 0.125), In at (0.000, 0.000, 0.500) and Br at (0.000, 0.000, 0.000).

The calculation puts the formation energy without anion corrections at -15.3 kcal/mol of atoms. The calculation puts the energy above the most stable polymorph in this dataset at 6.403 kcal/mol of atoms. The value obtained for the density of states at the Fermi level is 0.06 states/eV per atom. The value obtained for the volume is 137 Å³/f.u.

A geometry-optimized CaIn2Br structure. Source: Alexandria via LeMat-Bulk, functional PBE.

It has space group P4mm (No. 99), with a = 3.703 Å, b = 3.703 Å, c = 8.917 Å, α = 90.00°, β = 90.00° and γ = 90.00°. Symmetry generates all atoms from Ca at (0.000, 0.000, 0.000), In at (0.000, 0.000, 0.460), In at (0.500, 0.500, 0.255) and Br at (0.500, 0.500, 0.830).

The calculation puts the formation energy without anion corrections at -15.5 kcal/mol of atoms. The calculation puts the energy above the most stable polymorph in this dataset at 0.000 kcal/mol of atoms. The value obtained for the density of states at the Fermi level is 0.38 states/eV per atom. The value obtained for the volume is 122 Å³/f.u.

A geometry-optimized CaInBr3 structure. Source: Alexandria via LeMat-Bulk, functional PBE.

It has space group P-1 (No. 2), with a = 4.283 Å, b = 7.727 Å, c = 12.100 Å, α = 72.13°, β = 89.98° and γ = 73.94°. Symmetry generates all atoms from Ca at (0.242, 0.015, 0.158), In at (0.031, 0.434, 0.360), Br at (0.144, 0.213, 0.902), Br at (0.374, 0.752, 0.800) and Br at (0.377, 0.745, 0.388).

The calculation puts the formation energy without anion corrections at -33.9 kcal/mol of atoms. The value obtained for the density of states at the Fermi level is 0.00 states/eV per atom. The value obtained for the volume is 182 Å³/f.u.

A geometry-optimized Ca2InBr structure. Source: Alexandria via LeMat-Bulk, functional PBE.

It has space group R-3m (No. 166, hexagonal axes), with a = 4.1143 Å, b = 4.1143 Å, c = 25.3899 Å, α = 90.00°, β = 90.00° and γ = 120.00°. Symmetry generates all atoms from Ca at (0.0000, 0.0000, 0.2503), In at (0.0000, 0.0000, 0.0000) and Br at (0.0000, 0.0000, 0.5000).

The calculation puts the formation energy without anion corrections at -20.7 kcal/mol of atoms. The calculation puts the energy above the most stable polymorph in this dataset at 0.986 kcal/mol of atoms. The value obtained for the density of states at the Fermi level is 0.24 states/eV per atom. The value obtained for the volume is 124 Å³/f.u.

| no. | total magnetic moment (μB/f.u.) |
| --- | --- |
| 1 | 0.1 |
| 2 | 1.7 |
| 3 | 3.9 |
| 4 | 0.0 |
| 5 | 0.0 |
| 6 | 0.0 |
| 7 | 0.0 |
| 8 | 4.0 |
| 9 | 5.0 |
| 10 | 0.0 |
| 11 | 0.0 |
| 12 | 0.0 |
| 13 | 0.0 |
| 14 | 0.0 |